Computed, not measured: crystalline SrMnNbBiO6 at its relaxed geometry at the GGA+U level of DFT.

Properties
Mass density in Mg/m³: 6.637
Volume in Å³/cell: 135
Electronic total energy in eV per cell: -72.88

Cell lengths 5.7611, 5.7611, 5.7611 Å; angles 60.00, 60.00, 60.00 degrees
With the nearest neighbours (Å) after each atom.
Atoms (fractional coordinates):
Mn: 0.0000 0.0000 0.0000  6 O 2.08
O: 0.7453 0.7453 0.2547  1 Nb 2.00, 1 Mn 2.08
O: 0.2547 0.7453 0.7453  1 Nb 2.00, 1 Mn 2.08
O: 0.2547 0.7453 0.2547  1 Nb 2.00, 1 Mn 2.08
O: 0.2547 0.2547 0.7453  1 Nb 2.00, 1 Mn 2.08
O: 0.7453 0.2547 0.7453  1 Nb 2.00, 1 Mn 2.08
O: 0.7453 0.2547 0.2547  1 Nb 2.00, 1 Mn 2.08
Bi: 0.2500 0.2500 0.2500  12 O 2.88
Sr: 0.7500 0.7500 0.7500  12 O 2.88
Nb: 0.5000 0.5000 0.5000  6 O 2.00